# PBE Sr2NdBiO6, optimized geometry
data_Sr2NdBiO6
_chemical_formula_sum 'Sr4 Nd2 Bi2 O12'
_symmetry_space_group_name_H-M 'P 1 21/c 1'
_symmetry_Int_Tables_number 14
_symmetry_space_group_name_Hall '-P 2ybc'
_cell_length_a 6.020
_cell_length_b 6.197
_cell_length_c 10.487
_cell_angle_alpha 90.00
_cell_angle_beta 124.76
_cell_angle_gamma 90.00
loop_
_atom_site_label
_atom_site_type_symbol
_atom_site_fract_x
_atom_site_fract_y
_atom_site_fract_z
Sr1 Sr 0.237 0.048 0.251
Nd1 Nd 0.500 0.000 0.000
Bi1 Bi 0.000 0.000 0.500
O1 O 0.129 0.216 0.940
O2 O 0.233 0.694 0.947
O3 O 0.342 0.044 0.737
# size of the total moment: 0.00 μB per formula unit
# N(E_F): 0.00 states/eV/cell
# V: 16.07 A^3/atom
# E: -6.545 eV/atom

---

# PBE NdTaBi2O8, optimized geometry
data_NdTaBi2O8
_chemical_formula_sum 'Nd2 Ta2 Bi4 O16'
_symmetry_space_group_name_H-M 'C m m m'
_symmetry_Int_Tables_number 65
_symmetry_space_group_name_Hall '-C 2 2'
_cell_length_a 7.172
_cell_length_b 7.280
_cell_length_c 6.984
_cell_angle_alpha 90.00
_cell_angle_beta 90.00
_cell_angle_gamma 90.00
loop_
_atom_site_label
_atom_site_type_symbol
_atom_site_fract_x
_atom_site_fract_y
_atom_site_fract_z
Nd1 Nd 0.000 0.000 0.000
Ta1 Ta 0.000 0.000 0.500
Bi1 Bi 0.000 0.500 0.258
O1 O 0.000 0.283 0.500
O2 O 0.000 0.321 0.000
O3 O 0.185 0.000 0.286
# size of the total moment: 0.00 μB per formula unit
# N(E_F): 6.75 states/eV/cell
# V: 15.19 A^3/atom
# E: -7.355 eV/atom

---

# PBE TbNd2Bi2O2, optimized geometry
data_TbNd2Bi2O2
_chemical_formula_sum 'Tb2 Nd4 Bi4 O4'
_symmetry_space_group_name_H-M 'I 4/m m m'
_symmetry_Int_Tables_number 139
_symmetry_space_group_name_Hall '-I 4 2'
_cell_length_a 4.428
_cell_length_b 4.428
_cell_length_c 16.846
_cell_angle_alpha 90.00
_cell_angle_beta 90.00
_cell_angle_gamma 90.00
loop_
_atom_site_label
_atom_site_type_symbol
_atom_site_fract_x
_atom_site_fract_y
_atom_site_fract_z
Tb1 Tb 0.000 0.000 0.000
Nd1 Nd 0.000 0.000 0.390
Bi1 Bi 0.000 0.000 0.191
O1 O 0.000 0.500 0.000
# size of the total moment: 0.00 μB per formula unit
# N(E_F): 6.83 states/eV/cell
# V: 23.59 A^3/atom
# E: -6.381 eV/atom

---

# PBE TbNdBiO2, optimized geometry
data_TbNdBiO2
_chemical_formula_sum 'Tb2 Nd2 Bi2 O4'
_symmetry_space_group_name_H-M 'I 4 m m'
_symmetry_Int_Tables_number 107
_symmetry_space_group_name_Hall 'I 4 -2'
_cell_length_a 3.965
_cell_length_b 3.965
_cell_length_c 13.862
_cell_angle_alpha 90.00
_cell_angle_beta 90.00
_cell_angle_gamma 90.00
loop_
_atom_site_label
_atom_site_type_symbol
_atom_site_fract_x
_atom_site_fract_y
_atom_site_fract_z
Tb1 Tb 0.000 0.000 0.000
Nd1 Nd 0.000 0.000 0.666
Bi1 Bi 0.000 0.000 0.334
O1 O 0.000 0.500 0.078
# size of the total moment: 0.00 μB per formula unit
# N(E_F): 3.52 states/eV/cell
# V: 21.79 A^3/atom
# E: -7.257 eV/atom